1.
First-principles (GGA-PBE) data for a relaxed structure of PtRhSe2N, as listed in Alexandria via LeMat-Bulk.

a b c (Å): 5.140 5.140 3.612
angles (deg): 90.00 90.00 90.00
Space group P4/mmm (No. 123)
Unique sites:
Pt: 0.000 0.000 0.000
Rh: 0.500 0.500 0.500
Se: 0.000 0.500 0.000
N: 0.000 0.000 0.500

ΔE_f (raw), eV/atom: 0.87
E above lowest polymorph, meV per atom: 174
Size of the total moment, μB/cell: 0.00
DOS at the Fermi energy, states/eV/cell: 5.20

---

2.
First-principles (GGA-PBE) data for a relaxed structure of Mg4Si3, as listed in Alexandria via LeMat-Bulk.

a b c (Å): 5.452 7.458 7.582
angles (deg): 74.26 73.72 88.37
Space group P1 (No. 1)
Unique sites:
Mg: 0.000 0.000 0.000
Mg: 0.036 0.335 0.159
Mg: 0.116 0.583 0.419
Mg: 0.299 0.180 0.523
Mg: 0.461 0.475 0.775
Mg: 0.621 0.836 0.409
Mg: 0.753 0.139 0.642
Mg: 0.918 0.729 0.777
Si: 0.131 0.962 0.339
Si: 0.395 0.857 0.773
Si: 0.499 0.516 0.126
Si: 0.502 0.849 0.063
Si: 0.654 0.461 0.399
Si: 0.967 0.358 0.795

ΔE_f (raw), eV/atom: 0.02
E above lowest polymorph, meV per atom: 51
Size of the total moment, μB/cell: 0.00
DOS at the Fermi energy, states/eV/cell: 2.44

---

3.
First-principles (GGA-PBE) data for a relaxed structure of Mg4HgRh, as listed in Alexandria via LeMat-Bulk.

a b c (Å): 8.120 12.065 5.678
angles (deg): 90.00 113.94 90.00
Space group C2/c (No. 15)
Unique sites:
Mg: 0.108 0.174 0.066
Mg: 0.219 0.424 0.339
Hg: 0.000 0.372 0.750
Rh: 0.000 0.002 0.250

E above lowest polymorph, meV per atom: 0
Size of the total moment, μB/cell: 0.00
DOS at the Fermi energy, states/eV/cell: 8.97

---

4.
First-principles (GGA-PBE) data for a relaxed structure of PuThBi2, as listed in Alexandria via LeMat-Bulk.

a b c (Å): 4.5834 4.5834 22.3880
angles (deg): 90.00 90.00 120.00
Space group R-3m (No. 166, hexagonal axes)
Unique sites:
Pu: 0.0000 0.0000 0.0000
Th: 0.0000 0.0000 0.5000
Bi: 0.0000 0.0000 0.2512

E above lowest polymorph, meV per atom: 0
Size of the total moment, μB/cell: 16.96
DOS at the Fermi energy, states/eV/cell: 43.48

---

5.
First-principles (GGA-PBE) data for a relaxed structure of La3Os5, as listed in Alexandria via LeMat-Bulk.

a b c (Å): 9.4813 9.4813 4.7929
angles (deg): 90.00 90.00 120.00
Space group P6_3/mcm (No. 193)
Unique sites:
La: 0.0000 0.3740 0.2500
Os: 0.0000 0.1513 0.7500
Os: 0.3333 0.6667 0.0000

E above lowest polymorph, meV per atom: 111
Size of the total moment, μB/cell: 0.00
DOS at the Fermi energy, states/eV/cell: 18.42

---

6.
First-principles (GGA-PBE) data for a relaxed structure of MnCu2Re, as listed in Alexandria via LeMat-Bulk.

a b c (Å): 3.099 3.099 5.443
angles (deg): 90.00 90.00 90.00
Space group P4/mmm (No. 123)
Unique sites:
Mn: 0.000 0.000 0.000
Cu: 0.500 0.500 0.239
Re: 0.000 0.000 0.500

E above lowest polymorph, meV per atom: 206
Size of the total moment, μB/cell: 2.86
DOS at the Fermi energy, states/eV/cell: 3.12